# 1
The following is a DFT calculation (PBE) of a relaxed AcZnRuO6 crystal.

Lattice parameters (Å, degrees): 5.3265 5.3266 5.2407 90.00 90.00 59.99
Last column: nearest neighbours and their distance in Å.
Atoms (fractional coordinates):
Ac: 0.0000 0.0000 0.0000  6 O 2.52
Zn: 0.6666 0.6667 0.5000  6 O 2.09
Ru: 0.3333 0.3334 0.5000  6 O 1.91
O: 0.0244 0.3632 0.2916  1 Ru 1.91, 1 Zn 2.09
O: 0.3632 0.0244 0.7084  1 Ru 1.91, 1 Zn 2.09
O: 0.6123 0.3632 0.7084  1 Ru 1.91, 1 Zn 2.09
O: 0.0244 0.6124 0.7084  1 Ru 1.91, 1 Zn 2.09
O: 0.3632 0.6123 0.2915  1 Ru 1.91, 1 Zn 2.09
O: 0.6123 0.0244 0.2915  1 Ru 1.91, 1 Zn 2.09

Properties
The formation energy from raw total energies comes out at -1.57 eV/atom. The space group is P312 (149).

***

# 2
The following is a DFT calculation (PBE) of a relaxed LaRu crystal.

Lattice parameters (Å, degrees): 4.2616 4.2616 4.2616 60.00 60.00 60.00
Last column: nearest neighbours and their distance in Å.
Atoms (fractional coordinates):
La: 0.0000 0.0000 0.0000  4 Ru 2.61
Ru: 0.7500 0.7500 0.7500  4 La 2.61

Properties
The space group is F-43m (216). The energy relative to the elements comes out at 14.2 kcal/mol of atoms.

***

# 3
The following is a DFT calculation (PBE) of a relaxed Pm2HoMg3 crystal.

Lattice parameters (Å, degrees): 3.8292 3.8292 11.5302 90.00 90.00 90.00
Last column: nearest neighbours and their distance in Å.
Atoms (fractional coordinates):
Pm: 0.5000 0.5000 0.8299  8 Mg 3.34
Pm: 0.5000 0.5000 0.1701  8 Mg 3.34
Ho: 0.5000 0.5000 0.5000  8 Mg 3.28
Mg: 0.0000 0.0000 0.0000  8 Pm 3.34
Mg: 0.0000 0.0000 0.6599  4 Ho 3.28, 4 Pm 3.34
Mg: 0.0000 0.0000 0.3401  4 Ho 3.28, 4 Pm 3.34

Properties
The space group is P4/mmm (123). The energy relative to the elements comes out at -2.2 kcal/mol of atoms.

***

# 4
The following is a DFT calculation (PBE) of a relaxed TlNiAu2 crystal.

Lattice parameters (Å, degrees): 4.0756 4.0761 4.2952 90.00 90.00 90.00
Last column: nearest neighbours and their distance in Å.
Atoms (fractional coordinates):
Au: 0.0000 0.0000 0.0000  4 Au 2.88, 4 Ni 2.96, 4 Tl 2.96
Au: 0.5000 0.5000 0.0000  4 Au 2.88, 4 Tl 2.96, 4 Ni 2.96
Ni: 0.5000 0.0000 0.5000  4 Tl 2.88, 8 Au 2.96
Tl: 0.0000 0.5000 0.5000  4 Ni 2.88, 8 Au 2.96

Properties
The space group is P4/mmm (123). The energy relative to the elements comes out at 4.2 kcal/mol of atoms. The value obtained for the excess energy over the best structure of this formula in the dataset is 58.9 meV/atom.

***

# 5
The following is a DFT calculation (PBE) of a relaxed ZrCd2Hg crystal.

Lattice parameters (Å, degrees): 4.6463 3.0492 6.3687 75.90 90.00 90.00
Last column: nearest neighbours and their distance in Å.
Atoms (fractional coordinates):
Hg: 0.0000 0.3018 0.5219  3 Cd 2.92-3.03, 2 Hg 3.05, 4 Zr 3.06
Zr: 0.5000 0.6971 0.7295  2 Zr 3.05, 4 Hg 3.06, 7 Cd 3.13-3.41
Cd: 0.0000 0.0572 0.0121  1 Hg 3.03, 6 Cd 3.05-3.11, 4 Zr 3.28-3.29
Cd: 0.5000 0.4439 0.2365  2 Hg 2.92, 6 Cd 3.05-3.11, 1 Zr 3.13

Properties
The space group is Pm (6). The energy relative to the elements comes out at -1.5 kcal/mol of atoms.

***

# 6
The following is a DFT calculation (PBE) of a relaxed LaTb2PrHo crystal.

Lattice parameters (Å, degrees): 7.2290 8.4974 7.2126 126.09 90.00 90.00
Last column: nearest neighbours and their distance in Å.
Atoms (fractional coordinates):
La: 0.2500 0.7347 0.4694  1 Pr 3.07
La: 0.7500 0.2653 0.5306  1 Pr 3.07
Tb: 0.5000 0.3134 0.0000  1 Tb 3.17, 2 Pr 3.22, 2 Ho 3.51
Tb: 0.0000 0.6866 0.0000  1 Tb 3.17, 2 Pr 3.22, 2 Ho 3.51
Tb: 0.5000 0.6866 0.0000  1 Tb 3.17, 2 Pr 3.22, 2 Ho 3.51
Tb: 0.0000 0.3134 0.0000  1 Tb 3.17, 2 Pr 3.22, 2 Ho 3.51
Pr: 0.2500 0.9979 0.9958  1 La 3.07, 4 Tb 3.22, 1 Ho 3.30
Pr: 0.7500 0.0021 0.0042  1 La 3.07, 4 Tb 3.22, 1 Ho 3.30
Ho: 0.7500 0.7194 0.4388  1 Pr 3.30, 4 Tb 3.51, 2 La 3.62
Ho: 0.2500 0.2806 0.5612  1 Pr 3.30, 4 Tb 3.51, 2 La 3.62

Properties
The space group is Cmcm (63). The energy relative to the elements comes out at 8.3 kcal/mol of atoms.

***

# 7
The following is a DFT calculation (PBE) of a relaxed Li5MgO4 crystal.

Lattice parameters (Å, degrees): 2.7871 6.1834 6.1834 65.20 76.98 76.98
Last column: nearest neighbours and their distance in Å.
Atoms (fractional coordinates):
Li: 0.5965 0.4101 0.8969  5 O 2.09-2.28, 1 Li 2.24
Li: 0.9035 0.1031 0.5899  5 O 2.09-2.28, 1 Li 2.24
Li: 0.7500 0.5000 0.5000  4 O 1.99
Li: 0.5965 0.8969 0.4101  5 O 2.09-2.28, 1 Li 2.24
Li: 0.9035 0.5899 0.1031  5 O 2.09-2.28, 1 Li 2.24
Mg: 0.2500 0.0000 0.0000  4 O 1.92-2.12
O: 0.2500 0.2878 0.7122  1 Mg 1.92, 6 Li 1.99-2.09
O: 0.0384 0.2116 0.2116  6 Li 2.11-2.28, 1 Mg 2.12
O: 0.4616 0.7884 0.7884  6 Li 2.11-2.28, 1 Mg 2.12
O: 0.2500 0.7122 0.2878  1 Mg 1.92, 6 Li 1.99-2.09

Properties
The formation energy from raw total energies comes out at -1.56 eV/atom. The space group is Immm (71).

***

# 8
The following is a DFT calculation (PBE) of a relaxed KNiPb2 crystal.

Lattice parameters (Å, degrees): 4.3900 4.3900 7.7106 73.43 73.43 59.99
Last column: nearest neighbours and their distance in Å.
Atoms (fractional coordinates):
K: 0.2500 0.2500 0.2500  6 Pb 3.64
Ni: 0.7500 0.7500 0.7500  6 Pb 2.74
Pb: 0.0360 0.0360 0.8919  3 Ni 2.74
Pb: 0.4640 0.4640 0.6081  3 Ni 2.74

Properties
The space group is R-3m (166). The energy relative to the elements comes out at -0.4 kcal/mol of atoms.

***

# 9
The following is a DFT calculation (PBE) of a relaxed Zr3TaBe crystal.

Lattice parameters (Å, degrees): 5.1009 5.1009 5.1009 90.00 90.00 90.00
Last column: nearest neighbours and their distance in Å.
Atoms (fractional coordinates):
Be: 0.5000 0.5000 0.5000  12 Zr 3.61
Zr: 0.0000 0.5000 0.0000  2 Ta 2.55
Zr: 0.0000 0.0000 0.5000  2 Ta 2.55
Zr: 0.5000 0.0000 0.0000  2 Ta 2.55
Ta: 0.0000 0.0000 0.0000  6 Zr 2.55

Properties
The space group is Pm-3m (221). The energy relative to the elements comes out at 30.4 kcal/mol of atoms. The value obtained for the excess energy over the best structure of this formula in the dataset is 751.3 meV/atom.

***

# 10
The following is a DFT calculation (PBE) of a relaxed PaRe2Mo crystal.

Lattice parameters (Å, degrees): 3.1009 3.1009 7.4206 90.00 90.00 90.00
Last column: nearest neighbours and their distance in Å.
Atoms (fractional coordinates):
Re: 0.0000 0.0000 0.7091  4 Mo 2.69
Re: 0.0000 0.0000 0.2909  4 Mo 2.69
Mo: 0.5000 0.5000 0.5000  8 Re 2.69
Pa: 0.5000 0.5000 0.0000  8 Re 3.08, 4 Pa 3.10

Properties
The space group is P4/mmm (123). The energy relative to the elements comes out at 1.7 kcal/mol of atoms. The value obtained for the excess energy over the best structure of this formula in the dataset is 0.0 meV/atom.

***

# 11
The following is a DFT calculation (PBE) of a relaxed AlCr3Si crystal.

Lattice parameters (Å, degrees): 4.4591 4.4591 4.4591 90.00 90.00 90.00
Last column: nearest neighbours and their distance in Å.
Atoms (fractional coordinates):
Cr: 0.0000 0.5000 0.0000  2 Al 2.23
Cr: 0.0000 0.0000 0.5000  2 Al 2.23
Cr: 0.5000 0.0000 0.0000  2 Al 2.23
Si: 0.5000 0.5000 0.5000  12 Cr 3.15
Al: 0.0000 0.0000 0.0000  6 Cr 2.23

Properties
The formation energy from raw total energies comes out at 1.35 eV/atom. The space group is Pm-3m (221). The value obtained for the excess energy over the best structure of this formula in the dataset is 617.8 meV/atom.

***

# 12
The following is a DFT calculation (PBE) of a relaxed CsTcH2 crystal.

Lattice parameters (Å, degrees): 4.3263 4.3263 4.3263 60.00 60.00 60.00
Last column: nearest neighbours and their distance in Å.
Atoms (fractional coordinates):
Cs: 0.5000 0.5000 0.5000  8 H 2.65
H: 0.2500 0.2500 0.2500  4 Tc 2.65, 4 Cs 2.65
H: 0.7500 0.7500 0.7500  4 Tc 2.65, 4 Cs 2.65
Tc: 0.0000 0.0000 0.0000  8 H 2.65

Properties
The space group is Fm-3m (225).

***

| no. | E_tot (eV/atom) | magnetization (Bohr magnetons per cell) |
| --- | --- | --- |
| 1 | -6.50 | 0.9 |
| 2 | -6.49 | 0.0 |
| 3 | -3.24 | 0.0 |
| 4 | -3.49 | 0.0 |
| 5 | -2.73 | 0.0 |
| 6 | -4.35 | 0.0 |
| 7 | -4.66 | 0.7 |
| 8 | -3.59 | 0.0 |
| 9 | -6.93 | 0.0 |
| 10 | -11.23 | 0.0 |
| 11 | -6.26 | 8.1 |
| 12 | -2.73 | 0.0 |